# 1
Material: NaNbO3
Method: DFT, GGA-PBE
State: optimized geometry

Unit cell a=3.7502 b=3.7502 c=3.7502 alpha=90.00 beta=90.00 gamma=90.00
Last column: nearest neighbours and their distance in Å.
Atoms (fractional coordinates):
Na (0.0000, 0.0000, 0.0000)  6 O 1.88
Nb (0.5000, 0.5000, 0.5000)  12 O 2.65
O (0.0000, 0.0000, 0.5000)  2 Na 1.88
O (0.0000, 0.5000, 0.0000)  2 Na 1.88
O (0.5000, 0.0000, 0.0000)  2 Na 1.88

Results
SG ... No. 221
Formation energy without anion corrections ... 0.16 eV/f.u.

***

# 2
Material: Tb2SbAs
Method: DFT, GGA-PBE
State: optimized geometry

Unit cell a=7.4457 b=7.4457 c=7.4457 alpha=33.18 beta=33.18 gamma=33.18
Last column: nearest neighbours and their distance in Å.
Atoms (fractional coordinates):
Tb (0.2443, 0.2443, 0.2443)  3 As 2.95, 3 Sb 3.09
Tb (0.7557, 0.7557, 0.7557)  3 As 2.95, 3 Sb 3.09
Sb (0.0000, 0.0000, 0.0000)  6 Tb 3.09
As (0.5000, 0.5000, 0.5000)  6 Tb 2.95

Results
SG ... No. 166
Formation energy without anion corrections ... -5.31 eV/f.u.

***

# 3
Material: Li2CrAgBr6
Method: DFT, GGA-PBE
State: optimized geometry

Unit cell a=7.3337 b=7.3337 c=7.3337 alpha=55.10 beta=55.10 gamma=55.10
Last column: nearest neighbours and their distance in Å.
Atoms (fractional coordinates):
Li (0.0000, 0.0000, 0.0000)  6 Br 2.72-2.73
Li (0.4856, 0.4856, 0.4856)  6 Br 2.74-2.81
Cr (0.6728, 0.6728, 0.6728)  6 Br 2.54-2.55
Ag (0.1868, 0.1868, 0.1868)  6 Br 2.79-2.99
Br (0.0540, 0.4293, 0.7623)  1 Cr 2.55, 2 Li 2.73-2.74
Br (0.2847, 0.8805, 0.6061)  1 Cr 2.54, 2 Li 2.72-2.81, 1 Ag 2.79
Br (0.4293, 0.7623, 0.0540)  1 Cr 2.55, 2 Li 2.73-2.74
Br (0.6061, 0.2847, 0.8805)  1 Cr 2.54, 2 Li 2.72-2.81, 1 Ag 2.79
Br (0.7623, 0.0540, 0.4293)  1 Cr 2.55, 2 Li 2.73-2.74
Br (0.8805, 0.6061, 0.2847)  1 Cr 2.54, 2 Li 2.72-2.81, 1 Ag 2.79

Results
SG ... No. 146
Formation energy without anion corrections ... -9.49 eV/f.u.

***

# 4
Material: HfZrP
Method: DFT, GGA-PBE
State: optimized geometry

Unit cell a=6.6745 b=6.6745 c=6.1375 alpha=117.28 beta=117.28 gamma=30.74
Last column: nearest neighbours and their distance in Å.
Atoms (fractional coordinates):
Hf (0.1116, 0.1116, 0.4470)  3 P 2.57
Hf (0.8884, 0.8884, 0.5530)  3 P 2.57
Zr (0.3898, 0.3898, 0.0585)  3 P 2.59
Zr (0.6102, 0.6102, 0.9415)  3 P 2.59
P (0.2495, 0.2495, 0.2521)  3 Hf 2.57, 3 Zr 2.59
P (0.7505, 0.7505, 0.7479)  3 Hf 2.57, 3 Zr 2.59

Results
Formation energy from the elements ... -860 meV/atom
SG ... No. 12

***

# 5
Material: BeRh3
Method: DFT, GGA-PBE
State: optimized geometry

Unit cell a=2.7426 b=2.7806 c=6.9840 alpha=90.00 beta=90.00 gamma=90.00
Last column: nearest neighbours and their distance in Å.
Atoms (fractional coordinates):
Be (0.0000, 0.0000, 0.0000)  6 Rh 2.26
Rh (0.0000, 0.5000, 0.2550)  2 Be 2.26
Rh (0.5000, 0.0000, 0.5173)  10 Rh 2.63-2.78
Rh (0.5000, 0.5000, 0.8369)  4 Be 2.26

Results
Formation energy from the elements ... -12 meV/atom
SG ... No. 25

***

# 6
Material: CaHoTlNi
Method: DFT, GGA-PBE
State: optimized geometry

Unit cell a=5.1261 b=5.1261 c=5.1261 alpha=60.00 beta=60.00 gamma=60.00
Last column: nearest neighbours and their distance in Å.
Atoms (fractional coordinates):
Ca (0.0000, 0.0000, 0.0000)  4 Tl 3.14, 4 Ni 3.14
Ho (0.5000, 0.5000, 0.5000)  4 Tl 3.14, 4 Ni 3.14
Tl (0.7500, 0.7500, 0.7500)  4 Ho 3.14, 4 Ca 3.14
Ni (0.2500, 0.2500, 0.2500)  4 Ho 3.14, 4 Ca 3.14

Results
Formation energy from the elements ... -185 meV/atom
SG ... No. 216

***

# 7
Material: SiHg2Sb
Method: DFT, GGA-PBE
State: optimized geometry

Unit cell a=2.9908 b=5.7329 c=5.7604 alpha=90.00 beta=93.37 gamma=90.00
Last column: nearest neighbours and their distance in Å.
Atoms (fractional coordinates):
Si (0.0000, 0.0000, 0.0000)  2 Hg 2.90, 2 Sb 2.91, 2 Si 2.99
Hg (0.1048, 0.0000, 0.5031)  2 Si 2.90, 4 Hg 2.99-3.09
Hg (0.7149, 0.5000, 0.4923)  2 Sb 2.90, 4 Hg 2.99-3.09
Sb (0.8336, 0.5000, 0.9954)  2 Hg 2.90, 2 Si 2.91, 2 Sb 2.99

Results
SG ... No. 6
Polymorph energy (0 for the lowest one) ... 120.1 meV/atom
Formation energy without anion corrections ... 1.15 eV/f.u.

***

# 8
Material: Pm7NdY12
Method: DFT, GGA-PBE
State: optimized geometry

Unit cell a=9.8241 b=9.8241 c=9.8241 alpha=109.47 beta=109.47 gamma=109.47
Last column: nearest neighbours and their distance in Å.
Atoms (fractional coordinates):
Pm (0.0000, 0.0000, 0.5000)  6 Y 2.84
Pm (0.0000, 0.5000, 0.0000)  6 Y 2.84
Pm (0.0000, 0.5000, 0.5000)  12 Y 4.00-4.01
Pm (0.5000, 0.0000, 0.0000)  6 Y 2.84
Pm (0.5000, 0.0000, 0.5000)  12 Y 4.00-4.01
Pm (0.5000, 0.5000, 0.0000)  12 Y 4.00-4.01
Pm (0.5000, 0.5000, 0.5000)  6 Y 2.84
Nd (0.0000, 0.0000, 0.0000)  12 Y 4.02
Y (0.0000, 0.2505, 0.7495)  2 Pm 2.84
Y (0.0000, 0.7495, 0.2505)  2 Pm 2.84
Y (0.2505, 0.0000, 0.7495)  2 Pm 2.84
Y (0.2505, 0.2505, 0.5010)  2 Pm 2.84
Y (0.2505, 0.5010, 0.2505)  2 Pm 2.84
Y (0.2505, 0.7495, 0.0000)  2 Pm 2.84
Y (0.4990, 0.7495, 0.7495)  2 Pm 2.84
Y (0.5010, 0.2505, 0.2505)  2 Pm 2.84
Y (0.7495, 0.0000, 0.2505)  2 Pm 2.84
Y (0.7495, 0.2505, 0.0000)  2 Pm 2.84
Y (0.7495, 0.4990, 0.7495)  2 Pm 2.84
Y (0.7495, 0.7495, 0.4990)  2 Pm 2.84

Results
Formation energy from the elements ... 626 meV/atom
SG ... No. 229
Polymorph energy (0 for the lowest one) ... 358.3 meV/atom

***

# 9
Material: Ce5BiSb4
Method: DFT, GGA-PBE
State: optimized geometry

Unit cell a=18.6740 b=18.6740 c=18.6740 alpha=13.90 beta=13.90 gamma=13.90
Last column: nearest neighbours and their distance in Å.
Atoms (fractional coordinates):
Ce (0.0000, 0.0000, 0.0000)  6 Sb 3.19
Ce (0.2014, 0.2014, 0.2014)  3 Sb 3.18, 3 Bi 3.25
Ce (0.3993, 0.3993, 0.3993)  6 Sb 3.19
Ce (0.6007, 0.6007, 0.6007)  6 Sb 3.19
Ce (0.7986, 0.7986, 0.7986)  3 Sb 3.18, 3 Bi 3.25
Bi (0.5000, 0.5000, 0.5000)  6 Ce 3.25
Sb (0.0991, 0.0991, 0.0991)  6 Ce 3.18-3.19
Sb (0.3003, 0.3003, 0.3003)  6 Ce 3.19
Sb (0.6997, 0.6997, 0.6997)  6 Ce 3.19
Sb (0.9009, 0.9009, 0.9009)  6 Ce 3.18-3.19

Results
SG ... No. 166
Polymorph energy (0 for the lowest one) ... 0.0 meV/atom
Formation energy without anion corrections ... -9.91 eV/f.u.

***

# 10
Material: Y3HoEr8
Method: DFT, GGA-PBE
State: optimized geometry

Unit cell a=9.3666 b=9.3666 c=9.3666 alpha=131.84 beta=131.84 gamma=70.49
Last column: nearest neighbours and their distance in Å.
Atoms (fractional coordinates):
Y (0.0000, 0.0000, 0.0000)  8 Er 3.32
Y (0.2500, 0.7500, 0.5000)  8 Er 3.32
Y (0.7500, 0.2500, 0.5000)  8 Er 3.32
Ho (0.5000, 0.5000, 0.0000)  8 Er 3.29
Er (0.1270, 0.1270, 0.5027)  1 Ho 3.29, 3 Y 3.32
Er (0.1270, 0.6243, 0.0000)  1 Ho 3.29, 3 Y 3.32
Er (0.3757, 0.3757, 0.5027)  1 Ho 3.29, 3 Y 3.32
Er (0.3757, 0.8730, 0.0000)  1 Ho 3.29, 3 Y 3.32
Er (0.6243, 0.1270, 0.0000)  1 Ho 3.29, 3 Y 3.32
Er (0.6243, 0.6243, 0.4973)  1 Ho 3.29, 3 Y 3.32
Er (0.8730, 0.3757, 0.0000)  1 Ho 3.29, 3 Y 3.32
Er (0.8730, 0.8730, 0.4973)  1 Ho 3.29, 3 Y 3.32

Results
Formation energy from the elements ... 753 meV/atom
SG ... No. 139

***

# 11
Material: NdCdGe2Rh5
Method: DFT, GGA-PBE
State: optimized geometry

Unit cell a=4.6112 b=4.6112 c=7.5543 alpha=90.00 beta=90.00 gamma=90.00
Last column: nearest neighbours and their distance in Å.
Atoms (fractional coordinates):
Nd (0.0000, 0.0000, 0.0000)  12 Rh 3.05-3.26
Cd (0.0000, 0.0000, 0.5000)  8 Rh 2.92
Ge (0.5000, 0.5000, 0.3291)  5 Rh 2.36-2.49, 1 Ge 2.58
Ge (0.5000, 0.5000, 0.6709)  5 Rh 2.36-2.49, 1 Ge 2.58
Rh (0.0000, 0.5000, 0.2634)  2 Ge 2.36
Rh (0.0000, 0.5000, 0.7366)  2 Ge 2.36
Rh (0.5000, 0.0000, 0.2634)  2 Ge 2.36
Rh (0.5000, 0.0000, 0.7366)  2 Ge 2.36
Rh (0.5000, 0.5000, 0.0000)  2 Ge 2.49

Results
Formation energy from the elements ... -326 meV/atom
SG ... No. 123

***

| no. | calculated volume (Å³ per atom) | M_tot (Bohr magnetons per cell) |
| --- | --- | --- |
| 1 | 10.55 | 0.00 |
| 2 | 27.52 | 0.00 |
| 3 | 24.71 | 2.97 |
| 4 | 20.49 | 0.00 |
| 5 | 13.31 | 0.00 |
| 6 | 23.81 | 0.00 |
| 7 | 24.65 | 0.00 |
| 8 | 36.49 | 0.00 |
| 9 | 32.73 | 4.38 |
| 10 | 37.25 | 0.00 |
| 11 | 17.85 | 0.00 |